1.
Compound: PaCoCuIr
Source: Alexandria
Functional: GGA-PBE
Structure: relaxed

CIF file:
```
data_PaCoCuIr
_symmetry_space_group_name_H-M 'F -4 3 m'
_symmetry_Int_Tables_number 216
_symmetry_space_group_name_Hall 'F -4 2 3'
_cell_length_a 6.400
_cell_length_b 6.400
_cell_length_c 6.400
_cell_angle_alpha 90.00
_cell_angle_beta 90.00
_cell_angle_gamma 90.00
loop_
_atom_site_label
_atom_site_fract_x
_atom_site_fract_y
_atom_site_fract_z
Pa1 0.000 0.000 0.000
Co1 0.250 0.250 0.250
Cu1 0.000 0.000 0.500
Ir1 0.250 0.250 0.750
```

Calculated values
* E_form: -0.22 eV per atom


2.
Compound: Rb2CoCuIr
Source: Alexandria
Functional: GGA-PBE
Structure: relaxed

CIF file:
```
data_Rb2CoCuIr
_symmetry_space_group_name_H-M 'P 4/m m m'
_symmetry_Int_Tables_number 123
_symmetry_space_group_name_Hall '-P 4 2'
_cell_length_a 6.310
_cell_length_b 6.310
_cell_length_c 4.549
_cell_angle_alpha 90.00
_cell_angle_beta 90.00
_cell_angle_gamma 90.00
loop_
_atom_site_label
_atom_site_fract_x
_atom_site_fract_y
_atom_site_fract_z
Rb1 0.000 0.500 0.000
Co1 0.000 0.000 0.500
Cu1 0.000 0.000 0.000
Ir1 0.500 0.500 0.500
```

Calculated values
* polymorph energy (0 for the lowest one): 408 meV/atom
* E_form: 1.52 eV per atom


3.
Compound: RbCoCu2Ir
Source: Alexandria
Functional: GGA-PBE
Structure: relaxed

CIF file:
```
data_RbCoCu2Ir
_symmetry_space_group_name_H-M 'P 4/m m m'
_symmetry_Int_Tables_number 123
_symmetry_space_group_name_Hall '-P 4 2'
_cell_length_a 4.792
_cell_length_b 4.792
_cell_length_c 5.835
_cell_angle_alpha 90.00
_cell_angle_beta 90.00
_cell_angle_gamma 90.00
loop_
_atom_site_label
_atom_site_fract_x
_atom_site_fract_y
_atom_site_fract_z
Rb1 0.000 0.000 0.000
Co1 0.500 0.500 0.000
Cu1 0.000 0.500 0.500
Ir1 0.000 0.000 0.500
```

Calculated values
* E_form: 1.67 eV per atom


Copy entry 3 word for word.
Compound: RbCoCu2Ir
Source: Alexandria
Functional: GGA-PBE
Structure: relaxed

CIF file:
```
data_RbCoCu2Ir
_symmetry_space_group_name_H-M 'P 4/m m m'
_symmetry_Int_Tables_number 123
_symmetry_space_group_name_Hall '-P 4 2'
_cell_length_a 4.792
_cell_length_b 4.792
_cell_length_c 5.835
_cell_angle_alpha 90.00
_cell_angle_beta 90.00
_cell_angle_gamma 90.00
loop_
_atom_site_label
_atom_site_fract_x
_atom_site_fract_y
_atom_site_fract_z
Rb1 0.000 0.000 0.000
Co1 0.500 0.500 0.000
Cu1 0.000 0.500 0.500
Ir1 0.000 0.000 0.500
```

Calculated values
* E_form: 1.67 eV per atom


The lowest E_form belongs to which entry? PaCoCuIr